(1)
Compound: PuTc6
Source: the Alexandria database
Functional: PBE
Structure: optimized geometry

Summary:
- energy (eV per atom) = -9.971
- formation enthalpy at 0 K (eV per atom) = 0.961
- DOS(E_F) (states/eV/atom) = 2.475
- crystal system = cubic

Structure (extended XYZ):
```
7
Lattice="-3.387 3.387 3.387 3.387 -3.387 3.387 3.387 3.387 -3.387" Properties=species:S:1:pos:R:3 pbc="T T T"
Pu 0.000 0.000 0.000
Tc 3.387 1.693 0.000
Tc 3.387 0.000 1.693
Tc 1.693 3.387 0.000
Tc 1.693 0.000 3.387
Tc 0.000 3.387 1.693
Tc 0.000 1.693 3.387
```



(2)
Compound: Pu2Tc3
Source: the Alexandria database
Functional: PBE
Structure: optimized geometry

Summary:
- energy (eV per atom) = -11.776
- formation enthalpy at 0 K (eV per atom) = 0.176
- DOS(E_F) (states/eV/atom) = 2.872
- crystal system = orthorhombic

Structure (extended XYZ):
```
10
Lattice="2.952 -4.897 0.000 2.952 4.897 0.000 0.000 0.000 6.747" Properties=species:S:1:pos:R:3 pbc="T T T"
Pu 2.952 3.373 6.035
Pu 2.952 1.524 2.662
Pu 2.952 -1.524 4.085
Pu 2.952 -3.373 0.711
Tc 0.000 0.000 3.373
Tc 1.476 1.170 5.060
Tc 1.476 -1.170 1.687
Tc 2.952 0.000 0.000
Tc 4.428 1.170 5.060
Tc 4.428 -1.170 1.687
```



(3)
Compound: Pu5Tc4
Source: the Alexandria database
Functional: PBE
Structure: optimized geometry

Summary:
- energy (eV per atom) = -12.456
- formation enthalpy at 0 K (eV per atom) = 0.113
- DOS(E_F) (states/eV/atom) = 2.486
- crystal system = monoclinic

Structure (extended XYZ):
```
9
Lattice="5.044 -4.925 0.000 5.044 4.925 0.000 -0.744 0.000 3.287" Properties=species:S:1:pos:R:3 pbc="T T T"
Pu 0.000 0.000 0.000
Pu 3.239 0.000 0.752
Pu 5.044 1.584 0.000
Pu 5.044 -1.584 0.000
Pu 6.105 0.000 2.535
Tc 1.236 1.676 2.136
Tc 8.108 -1.676 1.151
Tc 1.236 -1.676 2.136
Tc 8.108 1.676 1.151
```



(4)
Compound: PuTh2Tc
Source: the Alexandria database
Functional: PBE
Structure: optimized geometry

Summary:
- energy (eV per atom) = -9.744
- formation enthalpy at 0 K (eV per atom) = 0.140
- DOS(E_F) (states/eV/atom) = 2.228
- crystal system = cubic

Structure (extended XYZ):
```
4
Lattice="0.000 3.652 3.652 3.652 0.000 3.652 3.652 3.652 0.000" Properties=species:S:1:pos:R:3 pbc="T T T"
Pu 0.000 0.000 0.000
Th 1.826 1.826 1.826
Th 5.478 5.478 5.478
Tc 3.652 3.652 3.652
```



(5)
Compound: PuTh2Tc
Source: the Alexandria database
Functional: PBE
Structure: optimized geometry

Summary:
- energy (eV per atom) = -9.861
- formation enthalpy at 0 K (eV per atom) = 0.024
- DOS(E_F) (states/eV/atom) = 2.158
- crystal system = tetragonal

Structure (extended XYZ):
```
4
Lattice="3.531 0.000 0.000 0.000 3.531 0.000 0.000 0.000 8.165" Properties=species:S:1:pos:R:3 pbc="T T T"
Pu 0.000 0.000 0.000
Th 1.766 1.766 2.298
Th 1.766 1.766 5.866
Tc 0.000 0.000 4.082
```



(6)
Compound: Pu3ThTc8
Source: the Alexandria database
Functional: PBE
Structure: optimized geometry

Summary:
- energy (eV per atom) = -11.138
- formation enthalpy at 0 K (eV per atom) = -0.027
- DOS(E_F) (states/eV/atom) = 2.144
- crystal system = monoclinic

Structure (extended XYZ):
```
12
Lattice="4.360 -2.875 0.000 4.360 2.875 0.000 -1.051 0.000 8.869" Properties=species:S:1:pos:R:3 pbc="T T T"
Pu 0.000 0.000 0.000
Pu -0.575 0.000 5.646
Pu 5.626 0.000 1.174
Th 5.274 0.000 4.482
Tc 1.353 1.461 7.304
Tc 0.985 0.000 2.790
Tc 3.238 1.468 2.766
Tc 2.802 0.000 0.590
Tc 2.310 0.000 5.044
Tc 1.353 -1.461 7.304
Tc 3.591 0.000 7.279
Tc 3.238 -1.468 2.766
```



(7)
Compound: Pu2ThTc
Source: the Alexandria database
Functional: PBE
Structure: optimized geometry

Summary:
- energy (eV per atom) = -11.050
- formation enthalpy at 0 K (eV per atom) = 0.563
- DOS(E_F) (states/eV/atom) = 2.047
- crystal system = trigonal

Structure (extended XYZ):
```
4
Lattice="2.244 1.296 5.301 -2.244 1.296 5.301 0.000 -2.592 5.301" Properties=species:S:1:pos:R:3 pbc="T T T"
Pu 0.000 0.000 2.874
Pu 0.000 0.000 13.029
Th 0.000 0.000 0.000
Tc 0.000 0.000 7.951
```



(8)
Compound: PuTh2Tc
Source: the Alexandria database
Functional: PBE
Structure: optimized geometry

Summary:
- energy (eV per atom) = -9.906
- formation enthalpy at 0 K (eV per atom) = -0.021
- DOS(E_F) (states/eV/atom) = 2.455
- crystal system = orthorhombic

Structure (extended XYZ):
```
16
Lattice="7.220 0.000 0.000 0.000 9.553 0.000 0.000 0.000 6.322" Properties=species:S:1:pos:R:3 pbc="T T T"
Pu 0.289 2.388 0.969
Pu 3.321 7.165 4.130
Pu 3.898 2.388 2.191
Pu 6.931 7.165 5.352
Th 1.258 0.571 4.244
Th 1.258 4.206 4.244
Th 2.352 5.347 1.084
Th 2.352 8.983 1.084
Th 4.868 0.571 5.238
Th 4.868 4.206 5.238
Th 5.961 5.347 2.077
Th 5.961 8.983 2.077
Tc 0.929 7.165 2.928
Tc 2.681 2.388 6.089
Tc 4.539 7.165 0.233
Tc 6.291 2.388 3.394
```



(9)
Compound: Pu2ThTc
Source: the Alexandria database
Functional: PBE
Structure: optimized geometry

Summary:
- energy (eV per atom) = -11.509
- formation enthalpy at 0 K (eV per atom) = 0.104
- DOS(E_F) (states/eV/atom) = 3.098
- crystal system = tetragonal

Structure (extended XYZ):
```
4
Lattice="3.465 0.000 0.000 0.000 3.465 0.000 0.000 0.000 7.671" Properties=species:S:1:pos:R:3 pbc="T T T"
Pu 0.000 0.000 1.606
Pu 0.000 0.000 6.065
Th 1.733 1.733 3.836
Tc 1.733 1.733 0.000
```



(10)
Compound: Pu2ThTc
Source: the Alexandria database
Functional: PBE
Structure: optimized geometry

Summary:
- energy (eV per atom) = -11.574
- formation enthalpy at 0 K (eV per atom) = 0.039
- DOS(E_F) (states/eV/atom) = 2.852
- crystal system = orthorhombic

Structure (extended XYZ):
```
16
Lattice="7.181 0.000 0.000 0.000 9.305 0.000 0.000 0.000 5.965" Properties=species:S:1:pos:R:3 pbc="T T T"
Pu 1.276 0.518 0.882
Pu 1.276 4.134 0.882
Pu 2.314 5.171 3.865
Pu 2.314 8.786 3.865
Pu 4.866 0.518 2.101
Pu 4.866 4.134 2.101
Pu 5.905 5.171 5.083
Pu 5.905 8.786 5.083
Th 0.221 2.326 3.800
Th 3.370 6.978 0.817
Th 3.811 2.326 5.148
Th 6.960 6.978 2.165
Tc 0.781 6.978 5.268
Tc 2.809 2.326 2.285
Tc 4.372 6.978 3.680
Tc 6.400 2.326 0.697
```



(11)
Compound: PuThTlTc
Source: the Alexandria database
Functional: PBE
Structure: optimized geometry

Summary:
- energy (eV per atom) = -8.672
- formation enthalpy at 0 K (eV per atom) = -0.051
- DOS(E_F) (states/eV/atom) = 2.020
- crystal system = tetragonal

Structure (extended XYZ):
```
4
Lattice="3.386 0.000 0.000 0.000 3.386 0.000 0.000 0.000 8.702" Properties=species:S:1:pos:R:3 pbc="T T T"
Pu 0.000 0.000 0.000
Th 0.000 0.000 3.526
Tl 1.693 1.693 6.211
Tc 1.693 1.693 1.695
```



(12)
Compound: PuTiTc4
Source: the Alexandria database
Functional: PBE
Structure: optimized geometry

Summary:
- energy (eV per atom) = -10.605
- formation enthalpy at 0 K (eV per atom) = 0.010
- DOS(E_F) (states/eV/atom) = 1.943
- crystal system = cubic

Structure (extended XYZ):
```
6
Lattice="0.000 3.724 3.724 3.724 0.000 3.724 3.724 3.724 0.000" Properties=species:S:1:pos:R:3 pbc="T T T"
Pu 0.000 0.000 0.000
Ti 5.586 5.586 5.586
Tc 2.798 2.798 2.798
Tc 4.651 4.651 2.798
Tc 4.651 2.798 4.651
Tc 2.798 4.651 4.651
```



(13)
Compound: PuTiTc
Source: the Alexandria database
Functional: PBE
Structure: optimized geometry

Summary:
- energy (eV per atom) = -10.900
- formation enthalpy at 0 K (eV per atom) = -0.035
- DOS(E_F) (states/eV/atom) = 1.606
- crystal system = trigonal

Structure (extended XYZ):
```
3
Lattice="4.527 0.000 0.000 -2.263 3.920 0.000 0.000 0.000 2.946" Properties=species:S:1:pos:R:3 pbc="T T T"
Pu 0.000 0.000 0.000
Ti 2.263 1.307 1.041
Tc 0.000 2.613 2.128
```



(14)
Compound: PuTiTc2
Source: the Alexandria database
Functional: PBE
Structure: optimized geometry

Summary:
- energy (eV per atom) = -10.949
- formation enthalpy at 0 K (eV per atom) = -0.209
- DOS(E_F) (states/eV/atom) = 1.119
- crystal system = cubic

Structure (extended XYZ):
```
4
Lattice="0.000 3.226 3.226 3.226 0.000 3.226 3.226 3.226 0.000" Properties=species:S:1:pos:R:3 pbc="T T T"
Pu 0.000 0.000 0.000
Ti 3.226 3.226 3.226
Tc 1.613 1.613 1.613
Tc 4.840 4.840 4.840
```



(15)
Compound: PuTiTc2
Source: the Alexandria database
Functional: PBE
Structure: optimized geometry

Summary:
- energy (eV per atom) = -10.906
- formation enthalpy at 0 K (eV per atom) = -0.166
- DOS(E_F) (states/eV/atom) = 1.308
- crystal system = tetragonal

Structure (extended XYZ):
```
4
Lattice="3.221 0.000 0.000 0.000 3.221 0.000 0.000 0.000 6.472" Properties=species:S:1:pos:R:3 pbc="T T T"
Pu 0.000 0.000 0.000
Ti 0.000 0.000 3.236
Tc 1.610 1.610 1.694
Tc 1.610 1.610 4.778
```



(16)
Compound: PuTiVTc
Source: the Alexandria database
Functional: PBE
Structure: optimized geometry

Summary:
- energy (eV per atom) = -10.331
- formation enthalpy at 0 K (eV per atom) = 0.097
- DOS(E_F) (states/eV/atom) = 2.114
- crystal system = cubic

Structure (extended XYZ):
```
4
Lattice="0.000 3.190 3.190 3.190 0.000 3.190 3.190 3.190 0.000" Properties=species:S:1:pos:R:3 pbc="T T T"
Pu 0.000 0.000 0.000
Ti 1.595 1.595 1.595
V 4.784 4.784 4.784
Tc 3.190 3.190 3.190
```



(17)
Compound: Pu2TlTc
Source: the Alexandria database
Functional: PBE
Structure: optimized geometry

Summary:
- energy (eV per atom) = -10.368
- formation enthalpy at 0 K (eV per atom) = -0.019
- DOS(E_F) (states/eV/atom) = 2.729
- crystal system = tetragonal

Structure (extended XYZ):
```
4
Lattice="3.236 0.000 0.000 0.000 3.236 0.000 0.000 0.000 8.798" Properties=species:S:1:pos:R:3 pbc="T T T"
Pu 0.000 0.000 1.805
Pu 0.000 0.000 6.993
Tl 1.618 1.618 4.399
Tc 1.618 1.618 0.000
```



(18)
Compound: Pu2TlTc
Source: the Alexandria database
Functional: PBE
Structure: optimized geometry

Summary:
- energy (eV per atom) = -10.074
- formation enthalpy at 0 K (eV per atom) = 0.275
- DOS(E_F) (states/eV/atom) = 3.365
- crystal system = trigonal

Structure (extended XYZ):
```
4
Lattice="1.636 0.945 10.844 -1.636 0.945 10.844 0.000 -1.889 10.844" Properties=species:S:1:pos:R:3 pbc="T T T"
Pu 0.000 0.000 3.305
Pu 0.000 0.000 29.227
Tl 0.000 0.000 0.000
Tc 0.000 0.000 16.266
```



(19)
Compound: Pu2TlTc
Source: the Alexandria database
Functional: PBE
Structure: optimized geometry

Summary:
- energy (eV per atom) = -10.141
- formation enthalpy at 0 K (eV per atom) = 0.209
- DOS(E_F) (states/eV/atom) = 2.265
- crystal system = tetragonal

Structure (extended XYZ):
```
4
Lattice="4.440 0.000 0.000 0.000 4.440 0.000 0.000 0.000 4.481" Properties=species:S:1:pos:R:3 pbc="T T T"
Pu 0.000 2.220 0.000
Pu 2.220 0.000 0.000
Tl 0.000 0.000 2.241
Tc 2.220 2.220 2.241
```



(20)
Compound: Tm2PuTc
Source: the Alexandria database
Functional: PBE
Structure: optimized geometry

Summary:
- energy (eV per atom) = -8.183
- formation enthalpy at 0 K (eV per atom) = 0.227
- DOS(E_F) (states/eV/atom) = 2.473
- crystal system = cubic

Structure (extended XYZ):
```
4
Lattice="0.000 3.572 3.572 3.572 0.000 3.572 3.572 3.572 0.000" Properties=species:S:1:pos:R:3 pbc="T T T"
Tm 1.786 1.786 1.786
Tm 5.359 5.359 5.359
Pu 0.000 0.000 0.000
Tc 3.572 3.572 3.572
```